Compound: Pu2As7Ru12
Source: Alexandria
Functional: PBE-GGA
Structure: optimized geometry

Geometry as POSCAR:
```
Pu2As7Ru12
1.0
9.7934 0.0000 0.0000
-4.8967 8.4813 0.0000
0.0000 0.0000 4.0025
Pu As Ru
2 7 12
direct
0.0000 0.0000 0.0000
0.3333 0.6667 0.5000
0.0837 0.4510 0.0000
0.2642 0.2181 0.5000
0.3673 0.9163 0.0000
0.5490 0.6327 0.0000
0.6667 0.3333 0.0000
0.7819 0.0460 0.5000
0.9540 0.7358 0.5000
0.0535 0.2820 0.5000
0.0952 0.7011 0.0000
0.2284 0.9465 0.5000
0.2989 0.3941 0.0000
0.3921 0.1743 0.0000
0.5481 0.4280 0.5000
0.5720 0.1201 0.5000
0.6059 0.9048 0.0000
0.7180 0.7716 0.5000
0.7823 0.6079 0.0000
0.8257 0.2177 0.0000
0.8799 0.4519 0.5000
```


Compound: PuAs2Ru4
Source: Alexandria
Functional: PBE-GGA
Structure: optimized geometry

Geometry as POSCAR:
```
PuAs2Ru4
1.0
1.9680 -7.7084 0.0000
1.9680 7.7084 0.0000
0.0000 0.0000 3.9068
Pu As Ru
1 2 4
direct
0.0000 0.0000 0.0000
0.4095 0.5905 0.5000
0.5905 0.4095 0.5000
0.1921 0.8079 0.5000
0.3065 0.6935 0.0000
0.6935 0.3065 0.0000
0.8079 0.1921 0.5000
```


Compound: PuAs3Ru5
Source: Alexandria
Functional: PBE-GGA
Structure: optimized geometry

Geometry as POSCAR:
```
PuAs3Ru5
1.0
1.5007 -6.7238 0.0000
1.5007 6.7238 0.0000
0.0000 0.0000 14.4332
Pu As Ru
2 6 10
direct
0.1547 0.8453 0.7500
0.8453 0.1547 0.2500
0.1391 0.8609 0.2500
0.3667 0.6333 0.0584
0.3667 0.6333 0.4416
0.6333 0.3667 0.5584
0.6333 0.3667 0.9416
0.8609 0.1391 0.7500
0.0000 0.0000 0.0000
0.0000 0.0000 0.5000
0.1903 0.8097 0.0767
0.1903 0.8097 0.4233
0.4727 0.5273 0.6551
0.4727 0.5273 0.8449
0.5273 0.4727 0.1551
0.5273 0.4727 0.3449
0.8097 0.1903 0.5767
0.8097 0.1903 0.9233
```


Across the entries above, formation energy takes the values -0.334, -0.318, -0.135 eV per atom, respectively.